DFT (PBE) results for an optimized crystal structure of GeIrIN2.

Geometry as POSCAR:
```
GeIrIN2
1.0
3.692 0.000 0.000
0.000 3.692 0.000
0.000 0.000 8.716
Ge Ir I N
1 1 1 2
Cartesian
0.000 0.000 0.000 Ge
1.846 1.846 4.358 Ir
0.000 0.000 4.358 I
0.000 1.846 0.000 N
1.846 0.000 0.000 N
```

## Properties
Offset from the most stable computed form, eV/f.u.: 2.96
M_tot, μB/atom: 0.00
Uncorrected formation energy, eV/atom: 1.65
E_tot, eV/atom: -4.686
ρ, g cm⁻³: 5.87